Mo2POs | PBE-GGA | optimized geometry

Properties
As for the total energy: -9.794 eV/atom. The magnetic moment is 0.000 μB per cell. For the mass density, the calculation gives 12.0 g/cm³. For the formation energy from the elements, the calculation gives -0.22 eV per atom.

a b c (Å): 2.8971 2.8971 6.7844
angles (deg): 90.00 90.00 90.00
Atoms (fractional coordinates):
Mo1 0.0000 0.0000 0.7254
Mo2 0.0000 0.0000 0.2746
P1 0.5000 0.5000 0.5000
Os1 0.5000 0.5000 0.0000

---

Mo3POs | PBE-GGA | optimized geometry

Properties
As for the total energy: -9.031 eV/atom. The magnetic moment is 0.000 μB per cell. For the mass density, the calculation gives 10.1 g/cm³. For the formation energy from the elements, the calculation gives 0.80 eV per atom. The value obtained for the energy above the most stable polymorph in this dataset is 0.0 meV per atom.

a b c (Å): 4.3764 4.3764 4.3764
angles (deg): 90.00 90.00 90.00
Atoms (fractional coordinates):
P1 0.0000 0.0000 0.0000
Mo1 0.0000 0.5000 0.0000
Mo2 0.0000 0.0000 0.5000
Mo3 0.5000 0.0000 0.0000
Os1 0.5000 0.5000 0.5000

---

Mo3POs | PBE-GGA | optimized geometry

Properties
As for the total energy: -7.998 eV/atom. The magnetic moment is 1.384 μB per cell. For the mass density, the calculation gives 7.9 g/cm³. For the formation energy from the elements, the calculation gives 1.83 eV per atom. The value obtained for the energy above the most stable polymorph in this dataset is 1033.4 meV per atom.

a b c (Å): 4.7428 4.7428 4.7428
angles (deg): 90.00 90.00 90.00
Last column: magnetic moment on the atom in μB.
Atoms (fractional coordinates):
P1 0.5000 0.5000 0.5000  -0.06
Mo1 0.0000 0.5000 0.0000  0.40
Mo2 0.0000 0.0000 0.5000  0.49
Mo3 0.5000 0.0000 0.0000  0.49
Os1 0.0000 0.0000 0.0000  -0.07

---

MoPOs2 | PBE-GGA | optimized geometry

Properties
As for the total energy: -9.589 eV/atom. The magnetic moment is 0.000 μB per cell. For the mass density, the calculation gives 14.9 g/cm³. For the formation energy from the elements, the calculation gives 0.09 eV per atom.

a b c (Å): 8.3903 8.3903 8.3903
angles (deg): 19.35 19.35 19.35
Atoms (fractional coordinates):
Mo1 0.0000 0.0000 0.0000
P1 0.5000 0.5000 0.5000
Os1 0.7576 0.7576 0.7576
Os2 0.2424 0.2424 0.2424

---

MoPOs2 | PBE-GGA | optimized geometry

Properties
As for the total energy: -9.736 eV/atom. The magnetic moment is 0.000 μB per cell. For the mass density, the calculation gives 15.2 g/cm³. For the formation energy from the elements, the calculation gives -0.06 eV per atom.

a b c (Å): 2.8757 2.8757 6.7198
angles (deg): 90.00 90.00 90.00
Atoms (fractional coordinates):
Mo1 0.5000 0.5000 0.7266
P1 0.0000 0.0000 0.4906
Os1 0.0000 0.0000 0.9971
Os2 0.5000 0.5000 0.2857

---

Mo2POs | PBE-GGA | optimized geometry

Properties
As for the total energy: -9.648 eV/atom. The magnetic moment is 0.000 μB per cell. For the mass density, the calculation gives 12.0 g/cm³. For the formation energy from the elements, the calculation gives -0.07 eV per atom.

a b c (Å): 5.0819 5.0819 5.0819
angles (deg): 145.65 128.69 63.21
Atoms (fractional coordinates):
Mo1 0.7267 0.7267 0.0000
Mo2 0.2733 0.2733 0.0000
P1 0.5000 0.0000 0.5000
Os1 0.0000 0.5000 0.5000

---

MoPOs2 | PBE-GGA | optimized geometry

Properties
As for the total energy: -9.713 eV/atom. The magnetic moment is 0.000 μB per cell. For the mass density, the calculation gives 15.0 g/cm³. For the formation energy from the elements, the calculation gives -0.04 eV per atom.

a b c (Å): 5.1223 5.1223 5.1223
angles (deg): 147.05 129.31 61.80
Atoms (fractional coordinates):
Mo1 0.7180 0.2180 0.5000
P1 0.4940 0.4940 0.0000
Os1 0.0032 0.0032 0.0000
Os2 0.2849 0.7849 0.5000

---

MoPOs2 | PBE-GGA | optimized geometry

Properties
As for the total energy: -9.321 eV/atom. The magnetic moment is 0.000 μB per cell. For the mass density, the calculation gives 14.7 g/cm³. For the formation energy from the elements, the calculation gives 0.35 eV per atom.

a b c (Å): 4.3325 4.3325 4.3325
angles (deg): 60.00 60.00 60.00
Atoms (fractional coordinates):
Mo1 0.5000 0.5000 0.5000
P1 0.2500 0.2500 0.2500
Os1 0.0000 0.0000 0.0000
Os2 0.7500 0.7500 0.7500

---

Mo2POs | PBE-GGA | optimized geometry

Properties
As for the total energy: -9.469 eV/atom. The magnetic moment is 0.000 μB per cell. For the mass density, the calculation gives 11.5 g/cm³. For the formation energy from the elements, the calculation gives 0.11 eV per atom.

a b c (Å): 2.8983 4.0005 5.1259
angles (deg): 90.00 90.00 90.00
Atoms (fractional coordinates):
Mo1 0.0000 0.0000 0.9660
Mo2 0.5000 0.5000 0.2790
P1 0.5000 0.5000 0.7683
Os1 0.0000 0.0000 0.4867

---

MoP3Os | PBE-GGA | optimized geometry

Properties
As for the total energy: -6.272 eV/atom. The magnetic moment is 1.858 μB per cell. For the mass density, the calculation gives 6.4 g/cm³. For the formation energy from the elements, the calculation gives 1.39 eV per atom. The value obtained for the energy above the most stable polymorph in this dataset is 226.7 meV per atom.

a b c (Å): 4.6075 4.6075 4.6075
angles (deg): 90.00 90.00 90.00
Last column: magnetic moment on the atom in μB.
Atoms (fractional coordinates):
P1 0.0000 0.5000 0.0000  -0.12
P2 0.0000 0.0000 0.5000  -0.10
P3 0.5000 0.0000 0.0000  -0.08
Mo1 0.0000 0.0000 0.0000  0.33
Os1 0.5000 0.5000 0.5000  1.83

---

Mo2POs | PBE-GGA | optimized geometry

Properties
As for the total energy: -9.499 eV/atom. The magnetic moment is 0.000 μB per cell. For the mass density, the calculation gives 12.0 g/cm³. For the formation energy from the elements, the calculation gives 0.08 eV per atom.

a b c (Å): 4.9557 4.9557 4.9557
angles (deg): 136.29 136.29 63.53
Atoms (fractional coordinates):
Mo1 0.7500 0.2500 0.5000
Mo2 0.2500 0.7500 0.5000
P1 0.0000 0.0000 0.0000
Os1 0.5000 0.5000 0.0000

---

Mo2POs | PBE-GGA | optimized geometry

Properties
As for the total energy: -9.518 eV/atom. The magnetic moment is 0.000 μB per cell. For the mass density, the calculation gives 11.7 g/cm³. For the formation energy from the elements, the calculation gives 0.06 eV per atom.

a b c (Å): 8.5191 8.5191 8.5191
angles (deg): 19.20 19.20 19.20
Atoms (fractional coordinates):
Mo1 0.7446 0.7446 0.7446
Mo2 0.2554 0.2554 0.2554
P1 0.0000 0.0000 0.0000
Os1 0.5000 0.5000 0.5000